--- A ---
{"formula": "TbGaCo4", "functional": "PBE", "state": "optimized geometry", "total_magnetization_mub_per_atom": 0.775, "spacegroup": "Cmcm", "dos_at_fermi_per_ev_fu": 7.80, "lattice_angstrom": [[2.042, -7.409, 0.000], [2.042, 7.409, 0.000], [0.000, 0.000, 5.695]], "species": ["Tb", "Tb", "Ga", "Ga", "Co", "Co", "Co", "Co", "Co", "Co", "Co", "Co"], "frac_coords": [[0.124, 0.876, 0.750], [0.876, 0.124, 0.250], [0.224, 0.776, 0.250], [0.776, 0.224, 0.750], [0.061, 0.939, 0.250], [0.344, 0.656, 0.554], [0.344, 0.656, 0.946], [0.500, 0.500, 0.000], [0.500, 0.500, 0.500], [0.656, 0.344, 0.054], [0.656, 0.344, 0.446], [0.939, 0.061, 0.750]]}



--- B ---
{"formula": "TbGaCo4", "functional": "PBE", "state": "optimized geometry", "total_magnetization_mub_per_atom": 0.729, "spacegroup": "F-43m", "dos_at_fermi_per_ev_fu": 8.27, "lattice_angstrom": [[0.000, 3.468, 3.468], [3.468, 0.000, 3.468], [3.468, 3.468, 0.000]], "species": ["Tb", "Ga", "Co", "Co", "Co", "Co"], "frac_coords": [[0.000, 0.000, 0.000], [0.250, 0.250, 0.250], [0.128, 0.624, 0.624], [0.624, 0.128, 0.624], [0.624, 0.624, 0.128], [0.624, 0.624, 0.624]]}



--- C ---
{"formula": "TbGaCo4", "functional": "PBE", "state": "optimized geometry", "total_magnetization_mub_per_atom": 0.737, "spacegroup": "P6/mmm", "dos_at_fermi_per_ev_fu": 7.66, "lattice_angstrom": [[8.581, 0.000, 0.000], [-4.290, 7.431, 0.000], [0.000, 0.000, 4.017]], "species": ["Tb", "Tb", "Tb", "Ga", "Ga", "Ga", "Co", "Co", "Co", "Co", "Co", "Co", "Co", "Co", "Co", "Co", "Co", "Co"], "frac_coords": [[0.000, 0.000, 0.000], [0.333, 0.667, 0.000], [0.667, 0.333, 0.000], [0.000, 0.500, 0.500], [0.500, 0.000, 0.500], [0.500, 0.500, 0.500], [0.000, 0.327, 0.000], [0.000, 0.673, 0.000], [0.160, 0.320, 0.500], [0.160, 0.840, 0.500], [0.320, 0.160, 0.500], [0.327, 0.000, 0.000], [0.327, 0.327, 0.000], [0.673, 0.000, 0.000], [0.673, 0.673, 0.000], [0.680, 0.840, 0.500], [0.840, 0.160, 0.500], [0.840, 0.680, 0.500]]}



Energy above the most stable structure, in meV per atom: A 226; B 88; C 0



--- A ---
{"formula": "TbGa3Co", "functional": "PBE", "state": "optimized geometry", "total_magnetization_mub_per_atom": 0.000, "spacegroup": "Pm-3m", "dos_at_fermi_per_ev_fu": 3.61, "lattice_angstrom": [[4.537, 0.000, 0.000], [0.000, 4.537, 0.000], [0.000, 0.000, 4.537]], "species": ["Tb", "Ga", "Ga", "Ga", "Co"], "frac_coords": [[0.000, 0.000, 0.000], [0.000, 0.500, 0.500], [0.500, 0.000, 0.500], [0.500, 0.500, 0.000], [0.500, 0.500, 0.500]]}



--- B ---
{"formula": "TbGa3Co", "functional": "PBE", "state": "optimized geometry", "total_magnetization_mub_per_atom": 0.000, "spacegroup": "Pnma", "dos_at_fermi_per_ev_fu": 2.11, "lattice_angstrom": [[8.195, 0.000, 0.000], [0.000, 4.087, 0.000], [0.000, 0.000, 10.463]], "species": ["Tb", "Tb", "Tb", "Tb", "Ga", "Ga", "Ga", "Ga", "Ga", "Ga", "Ga", "Ga", "Ga", "Ga", "Ga", "Ga", "Co", "Co", "Co", "Co"], "frac_coords": [[0.198, 0.250, 0.015], [0.302, 0.750, 0.515], [0.698, 0.250, 0.485], [0.802, 0.750, 0.985], [0.054, 0.250, 0.584], [0.115, 0.750, 0.793], [0.143, 0.750, 0.219], [0.357, 0.250, 0.719], [0.385, 0.250, 0.293], [0.446, 0.750, 0.084], [0.554, 0.250, 0.916], [0.615, 0.750, 0.707], [0.643, 0.750, 0.281], [0.857, 0.250, 0.781], [0.885, 0.250, 0.207], [0.946, 0.750, 0.416], [0.106, 0.250, 0.352], [0.394, 0.750, 0.852], [0.606, 0.250, 0.148], [0.894, 0.750, 0.648]]}



Energy above the most stable structure, in meV per atom: A 171; B 0



--- A ---
{"formula": "TbYGaCo", "functional": "PBE", "state": "optimized geometry", "total_magnetization_mub_per_atom": 0.267, "spacegroup": "F-43m", "dos_at_fermi_per_ev_fu": 2.65, "lattice_angstrom": [[0.000, 3.495, 3.495], [3.495, 0.000, 3.495], [3.495, 3.495, 0.000]], "species": ["Tb", "Y", "Ga", "Co"], "frac_coords": [[0.000, 0.000, 0.000], [0.500, 0.500, 0.500], [0.750, 0.750, 0.750], [0.250, 0.250, 0.250]]}



--- B ---
{"formula": "TbYGaCo", "functional": "PBE", "state": "optimized geometry", "total_magnetization_mub_per_atom": 0.000, "spacegroup": "Amm2", "dos_at_fermi_per_ev_fu": 3.48, "lattice_angstrom": [[4.235, 0.000, 0.000], [0.000, 1.939, 5.350], [0.000, -1.939, 5.350]], "species": ["Tb", "Y", "Ga", "Co"], "frac_coords": [[0.000, 0.000, 0.000], [0.500, 0.282, 0.282], [0.000, 0.707, 0.707], [0.500, 0.579, 0.579]]}



Energy above the most stable structure, in meV per atom: A 67; B 0



--- A ---
{"formula": "Ga2Co2Tc", "functional": "PBE", "state": "optimized geometry", "total_magnetization_mub_per_atom": 0.000, "spacegroup": "P4/mbm", "dos_at_fermi_per_ev_fu": 5.83, "lattice_angstrom": [[6.902, 0.000, 0.000], [0.000, 6.902, 0.000], [0.000, 0.000, 2.673]], "species": ["Ga", "Ga", "Ga", "Ga", "Co", "Co", "Co", "Co", "Tc", "Tc"], "frac_coords": [[0.136, 0.364, 0.000], [0.364, 0.864, 0.000], [0.636, 0.136, 0.000], [0.864, 0.636, 0.000], [0.164, 0.664, 0.500], [0.336, 0.164, 0.500], [0.664, 0.836, 0.500], [0.836, 0.336, 0.500], [0.000, 0.000, 0.000], [0.500, 0.500, 0.000]]}



--- B ---
{"formula": "Ga2Co2Tc", "functional": "PBE", "state": "optimized geometry", "total_magnetization_mub_per_atom": 0.246, "spacegroup": "P4/mbm", "dos_at_fermi_per_ev_fu": 5.83, "lattice_angstrom": [[6.948, 0.000, 0.000], [0.000, 6.948, 0.000], [0.000, 0.000, 2.659]], "species": ["Ga", "Ga", "Ga", "Ga", "Co", "Co", "Co", "Co", "Tc", "Tc"], "frac_coords": [[0.174, 0.326, 0.000], [0.326, 0.826, 0.000], [0.674, 0.174, 0.000], [0.826, 0.674, 0.000], [0.123, 0.623, 0.500], [0.377, 0.123, 0.500], [0.623, 0.877, 0.500], [0.877, 0.377, 0.500], [0.000, 0.000, 0.500], [0.500, 0.500, 0.500]]}



Energy above the most stable structure, in meV per atom: A 0; B 82